1.
DFT (PBE) results for a relaxed structure of NpPaOsPt.

Summary:
E_tot: -10.201 eV per atom
V: 330.85 Å³ per cell

Unit cell a=6.9163 b=6.9163 c=6.9163 alpha=90.00 beta=90.00 gamma=90.00
Last column: nearest neighbours and their distance in Å.
Space group F-43m (No. 216)
Asymmetric unit:
Np 0.0000 0.0000 0.0000 x4  4 Pt 2.99, 4 Os 2.99
Pa 0.0000 0.0000 0.5000 x4  4 Os 2.99, 4 Pt 2.99
Os 0.2500 0.2500 0.7500 x4  4 Pa 2.99, 4 Np 2.99
Pt 0.2500 0.2500 0.2500 x4  4 Pa 2.99, 4 Np 2.99

2.
DFT (PBE) results for a relaxed structure of NpPaReOs.

Summary:
E_tot: -11.424 eV per atom
V: 319.06 Å³ per cell

Unit cell a=6.8332 b=6.8332 c=6.8332 alpha=90.00 beta=90.00 gamma=90.00
Last column: nearest neighbours and their distance in Å.
Space group F-43m (No. 216)
Asymmetric unit:
Np 0.0000 0.0000 0.0000 x4  4 Re 2.96, 4 Os 2.96
Pa 0.0000 0.0000 0.5000 x4  4 Re 2.96, 4 Os 2.96
Re 0.2500 0.2500 0.2500 x4  4 Pa 2.96, 4 Np 2.96
Os 0.2500 0.2500 0.7500 x4  4 Pa 2.96, 4 Np 2.96

no.,Fermi-level density of states (states/eV/atom)
1,2.441
2,1.561